PBE-GGA KCd2SbAs, optimized geometry; formation energy without anion corrections = -0.220 eV per atom; VASP energy = -2.560 eV per atom; symmetry = P2_1/m; calculated density = 4.85 g/cm3
1.0
-1.833 -2.091 -3.471
0.478 -7.054 3.997
-8.092 3.560 2.129
As K Sb Cd
2 2 2 4
Direct
0.750 0.716 0.931
0.250 0.284 0.069
0.750 0.063 0.797
0.250 0.937 0.203
0.250 0.260 0.567
0.750 0.740 0.433
0.750 0.495 0.121
0.750 0.514 0.633
0.250 0.505 0.879
0.250 0.486 0.367